This record from Alexandria via LeMat-Bulk describes Mo3NO9 after structural relaxation. The functional is GGA+U.

Cell lengths 11.3640, 11.3640, 3.5890 Å; angles 90.00, 90.00, 120.00 degrees
Element x y z (fractional)
Mo 0.5327 0.6482 0.2500
Mo 0.4673 0.3518 0.7500
Mo 0.3518 0.8845 0.2500
Mo 0.6482 0.1155 0.7500
Mo 0.1155 0.4673 0.2500
Mo 0.8845 0.5327 0.7500
N 0.0000 0.0000 0.2500
N 0.0000 0.0000 0.7500
O 0.4959 0.7804 0.2500
O 0.5041 0.2196 0.7500
O 0.2196 0.7155 0.2500
O 0.7804 0.2845 0.7500
O 0.2845 0.5041 0.2500
O 0.7155 0.4959 0.7500
O 0.9186 0.4908 0.2500
O 0.0814 0.5092 0.7500
O 0.5092 0.4278 0.2500
O 0.4908 0.5722 0.7500
O 0.5722 0.0814 0.2500
O 0.4278 0.9186 0.7500
O 0.7057 0.7309 0.2500
O 0.2943 0.2691 0.7500
O 0.2691 0.9748 0.2500
O 0.7309 0.0252 0.7500
O 0.0252 0.2943 0.2500
O 0.9748 0.7057 0.7500

Results
- SG: P6_3/m (176)
- ΔE to the lowest computed polymorph: 0.3158 eV/atom